VASP calculation (PBE with a Hubbard U) on a relaxed structure of MnAsP2O.

The structure belongs to space group P4/mmm (No. 123); the cell edges are 4.8885, 4.8885 and 3.6173 Å and the angles 90.00°, 90.00° and 90.00°. The inequivalent atoms are Mn at (0.0000, 0.0000, 0.0000), As at (0.5000, 0.5000, 0.5000), P at (0.0000, 0.5000, 0.5000) and O at (0.5000, 0.5000, 0.0000).

The calculation puts the total DFT energy (no corrections) at -26.2 eV/cell. The calculation puts the energy relative to the lowest polymorph listed for this composition at 0 meV per atom.